Entry from OQMD: an optimized crystal structure of PmCuB4 (GGA-PBE).

## Properties
As for the symmetry: Immm, No. 71. The polymorph energy (0 for the lowest one) comes out at 0.32 eV/f.u. As for the calculated density: 6.2 g/cm³. Its crystal system is orthorhombic. The calculation puts the total energy at -34.936 eV per cell.

Cell and atoms, written as POSCAR:
```
PmCuB4
1.0
-2.939 -3.938 -1.296
-1.540 -2.008 4.407
-0.266 4.134 -2.944
B Cu Pm
4 1 1
Direct
0.564 0.242 0.321
0.079 0.758 0.321
0.921 0.242 0.679
0.436 0.758 0.679
0.000 0.000 0.000
0.500 0.500 0.000
```


Entry from OQMD: an optimized crystal structure of TlFeIrW (GGA-PBE).

## Properties
As for the symmetry: F-43m, No. 216. The polymorph energy (0 for the lowest one) comes out at 0.66 eV/f.u. As for the calculated density: 16.2 g/cm³. Its crystal system is cubic. The calculation puts the total energy at -29.718 eV per cell.

Cell and atoms, written as POSCAR:
```
TlFeIrW
1.0
0.000 3.197 3.197
3.197 0.000 3.197
3.197 3.197 0.000
Fe Ir Tl W
1 1 1 1
Direct
0.750 0.750 0.750
0.500 0.500 0.500
0.000 0.000 0.000
0.250 0.250 0.250
```